# 1
# PBEsol NdCo4P12, optimized geometry
# - Energy of formation: -646 meV/atom
data_NdCo4P12
_space_group_name_H-M_alt 'P 1'
_space_group_IT_number 1
_space_group_name_Hall 'P 1'
_cell_length_a 6.6905
_cell_length_b 6.6905
_cell_length_c 6.6905
_cell_angle_alpha 109.47
_cell_angle_beta 109.47
_cell_angle_gamma 109.47
loop_
_atom_site_label
_atom_site_type_symbol
_atom_site_fract_x
_atom_site_fract_y
_atom_site_fract_z
Nd1 Nd 0.0000 0.0000 0.0000
Co1 Co 0.0000 0.5000 0.0000
Co2 Co 0.5000 0.5000 0.5000
Co3 Co 0.0000 0.0000 0.5000
Co4 Co 0.5000 0.0000 0.0000
P1 P 0.6460 0.4953 0.8493
P2 P 0.3540 0.5047 0.1507
P3 P 0.3540 0.2033 0.8493
P4 P 0.6460 0.7967 0.1507
P5 P 0.7967 0.1507 0.6460
P6 P 0.2033 0.8493 0.3540
P7 P 0.5047 0.1507 0.3540
P8 P 0.4953 0.8493 0.6460
P9 P 0.1507 0.3540 0.5047
P10 P 0.8493 0.6460 0.4953
P11 P 0.1507 0.6460 0.7967
P12 P 0.8493 0.3540 0.2033

=====

# 2
# PBEsol NdCo2P2, optimized geometry
# - Energy of formation: -1067 meV/atom
data_NdCo2P2
_space_group_name_H-M_alt 'P 1'
_space_group_IT_number 1
_space_group_name_Hall 'P 1'
_cell_length_a 3.8443
_cell_length_b 3.8443
_cell_length_c 5.5172
_cell_angle_alpha 110.39
_cell_angle_beta 110.39
_cell_angle_gamma 90.00
loop_
_atom_site_label
_atom_site_type_symbol
_atom_site_fract_x
_atom_site_fract_y
_atom_site_fract_z
Nd1 Nd 0.0000 0.0000 0.0000
Co1 Co 0.2500 0.7500 0.5000
Co2 Co 0.7500 0.2500 0.5000
P1 P 0.3671 0.3671 0.7342
P2 P 0.6329 0.6329 0.2658

=====

# 3
# PBEsol Nd2Co12P7, optimized geometry
# - Energy of formation: -837 meV/atom
data_Nd2Co12P7
_space_group_name_H-M_alt 'P 1'
_space_group_IT_number 1
_space_group_name_Hall 'P 1'
_cell_length_a 3.5754
_cell_length_b 8.9707
_cell_length_c 8.9707
_cell_angle_alpha 120.00
_cell_angle_beta 90.00
_cell_angle_gamma 90.00
loop_
_atom_site_label
_atom_site_type_symbol
_atom_site_fract_x
_atom_site_fract_y
_atom_site_fract_z
Nd1 Nd 0.0000 0.0000 0.0000
Nd2 Nd 0.5000 0.6667 0.3333
Co1 Co 0.0000 0.9010 0.2926
Co2 Co 0.0000 0.3916 0.0990
Co3 Co 0.0000 0.7074 0.6084
Co4 Co 0.5000 0.9526 0.7178
Co5 Co 0.5000 0.7652 0.0474
Co6 Co 0.5000 0.2822 0.2348
Co7 Co 0.0000 0.1828 0.7869
Co8 Co 0.0000 0.6042 0.8172
Co9 Co 0.0000 0.2131 0.3958
Co10 Co 0.5000 0.1030 0.5392
Co11 Co 0.5000 0.4362 0.8970
Co12 Co 0.5000 0.4608 0.5638
P1 P 0.5000 0.2282 0.9589
P2 P 0.5000 0.7307 0.7718
P3 P 0.5000 0.0411 0.2693
P4 P 0.0000 0.3333 0.6667
P5 P 0.0000 0.9320 0.5588
P6 P 0.0000 0.6267 0.0680
P7 P 0.0000 0.4412 0.3733

=====

# 4
# PBEsol Nd12Co6Pb, optimized geometry
# - Energy of formation: -147 meV/atom
data_Nd12Co6Pb
_space_group_name_H-M_alt 'P 1'
_space_group_IT_number 1
_space_group_name_Hall 'P 1'
_cell_length_a 8.5271
_cell_length_b 8.5271
_cell_length_c 8.5271
_cell_angle_alpha 109.47
_cell_angle_beta 109.47
_cell_angle_gamma 109.47
loop_
_atom_site_label
_atom_site_type_symbol
_atom_site_fract_x
_atom_site_fract_y
_atom_site_fract_z
Nd1 Nd 0.1933 0.6939 0.8872
Nd2 Nd 0.8067 0.3061 0.1128
Nd3 Nd 0.8067 0.6939 0.5006
Nd4 Nd 0.1933 0.3061 0.4994
Nd5 Nd 0.3061 0.1128 0.8067
Nd6 Nd 0.6939 0.8872 0.1933
Nd7 Nd 0.3061 0.4994 0.1933
Nd8 Nd 0.6939 0.5006 0.8067
Nd9 Nd 0.4994 0.1933 0.3061
Nd10 Nd 0.5006 0.8067 0.6939
Nd11 Nd 0.8872 0.1933 0.6939
Nd12 Nd 0.1128 0.8067 0.3061
Co1 Co 0.1113 0.6113 0.5000
Co2 Co 0.8887 0.3887 0.5000
Co3 Co 0.6113 0.5000 0.1113
Co4 Co 0.3887 0.5000 0.8887
Co5 Co 0.5000 0.8887 0.3887
Co6 Co 0.5000 0.1113 0.6113
Pb1 Pb 0.0000 0.0000 0.0000

=====

# 5
# PBEsol NdCoSb2, optimized geometry
# - Formation energy from raw total energies: -0.6664 eV per atom
data_NdCoSb2
_space_group_name_H-M_alt 'P 1'
_space_group_IT_number 1
_space_group_name_Hall 'P 1'
_cell_length_a 4.3111
_cell_length_b 4.3111
_cell_length_c 9.6856
_cell_angle_alpha 90.00
_cell_angle_beta 90.00
_cell_angle_gamma 90.00
loop_
_atom_site_label
_atom_site_type_symbol
_atom_site_fract_x
_atom_site_fract_y
_atom_site_fract_z
Sb1 Sb 0.5000 0.5000 0.0000
Sb2 Sb 0.0000 0.0000 0.0000
Sb3 Sb 0.0000 0.5000 0.3657
Sb4 Sb 0.5000 0.0000 0.6343
Nd1 Nd 0.0000 0.5000 0.7410
Nd2 Nd 0.5000 0.0000 0.2590
Co1 Co 0.5000 0.5000 0.5000
Co2 Co 0.0000 0.0000 0.5000

=====

# 6
# PBEsol Nd2CoSb4, optimized geometry
# - Formation energy from raw total energies: -0.7438 eV per atom
data_Nd2CoSb4
_space_group_name_H-M_alt 'P 1'
_space_group_IT_number 1
_space_group_name_Hall 'P 1'
_cell_length_a 4.3295
_cell_length_b 4.3295
_cell_length_c 9.5245
_cell_angle_alpha 90.00
_cell_angle_beta 90.00
_cell_angle_gamma 90.00
loop_
_atom_site_label
_atom_site_type_symbol
_atom_site_fract_x
_atom_site_fract_y
_atom_site_fract_z
Sb1 Sb 0.5000 0.0000 0.8789
Sb2 Sb 0.0000 0.5000 0.1211
Sb3 Sb 0.5000 0.5000 0.5000
Sb4 Sb 0.0000 0.0000 0.5000
Nd1 Nd 0.5000 0.0000 0.2357
Nd2 Nd 0.0000 0.5000 0.7643
Co1 Co 0.5000 0.5000 0.0000

=====

Number 3 is which compound?
Nd2Co12P7

=====

Number 5 is which compound?
NdCoSb2